PmHo2Er6Tm: optimized geometry, GGA-PBE.

**Density of states at the Fermi level**: 28.51 states/eV per cell
**Total energy**: -89.082 eV per cell

abc: 8.7071 8.7071 9.4359
angles: 93.59 93.59 117.80
With the nearest neighbours (Å) after each atom.
Positions (direct):
Pm1 0.0248 0.9752 0.7500  4 Ho 3.35-3.41, 4 Er 3.54-3.66
Pm2 0.9752 0.0248 0.2500  4 Ho 3.35-3.41, 4 Er 3.54-3.66
Ho1 0.1987 0.3053 0.5463  6 Er 3.23-3.55, 2 Pm 3.35-3.41, 1 Tm 3.49
Ho2 0.3053 0.1987 0.0463  6 Er 3.23-3.55, 2 Pm 3.35-3.41, 1 Tm 3.49
Ho3 0.6947 0.8013 0.9537  6 Er 3.23-3.55, 2 Pm 3.35-3.41, 1 Tm 3.49
Ho4 0.8013 0.6947 0.4537  6 Er 3.23-3.55, 2 Pm 3.35-3.41, 1 Tm 3.49
Er1 0.0179 0.5670 0.6838  3 Er 3.18-3.54, 2 Ho 3.35-3.55, 1 Tm 3.43, 1 Pm 3.54
Er2 0.1254 0.7503 0.0574  7 Er 3.37-3.67, 1 Ho 3.47, 1 Pm 3.66
Er3 0.2497 0.8746 0.4426  7 Er 3.37-3.67, 1 Ho 3.47, 1 Pm 3.66
Er4 0.2911 0.5078 0.8822  4 Er 3.18-3.46, 3 Ho 3.23-3.38, 2 Tm 3.38-3.49
Er5 0.4330 0.9821 0.8162  3 Er 3.18-3.54, 2 Ho 3.35-3.55, 1 Tm 3.43, 1 Pm 3.54
Er6 0.4922 0.7089 0.6178  4 Er 3.18-3.46, 3 Ho 3.23-3.38, 2 Tm 3.38-3.49
Er7 0.5078 0.2911 0.3822  4 Er 3.18-3.46, 3 Ho 3.23-3.38, 2 Tm 3.38-3.49
Er8 0.5670 0.0179 0.1838  3 Er 3.18-3.54, 2 Ho 3.35-3.55, 1 Tm 3.43, 1 Pm 3.54
Er9 0.7089 0.4922 0.1178  4 Er 3.18-3.46, 3 Ho 3.23-3.38, 2 Tm 3.38-3.49
Er10 0.7503 0.1254 0.5574  7 Er 3.37-3.67, 1 Ho 3.47, 1 Pm 3.66
Er11 0.8746 0.2497 0.9426  7 Er 3.37-3.67, 1 Ho 3.47, 1 Pm 3.66
Er12 0.9821 0.4330 0.3162  3 Er 3.18-3.54, 2 Ho 3.35-3.55, 1 Tm 3.43, 1 Pm 3.54
Tm1 0.4098 0.5902 0.2500  6 Er 3.38-3.49, 2 Ho 3.49
Tm2 0.5902 0.4098 0.7500  6 Er 3.38-3.49, 2 Ho 3.49

LuFeCo2: optimized geometry, GGA-PBE.

**Offset from the most stable computed form**: 0.028 eV/atom
**Density of states at the Fermi level**: 1.80 states/eV per cell

abc: 4.2121 4.2121 3.1995
angles: 90.00 90.00 90.00
With the nearest neighbours (Å) after each atom.
Positions (direct):
Lu1 0.0000 0.0000 0.0000  8 Co 2.64
Fe1 0.5000 0.5000 0.0000  8 Co 2.64
Co1 0.0000 0.5000 0.5000  4 Fe 2.64, 4 Lu 2.64
Co2 0.5000 0.0000 0.5000  4 Fe 2.64, 4 Lu 2.64

RbPtCl: optimized geometry, GGA-PBE.

**Offset from the most stable computed form**: 0.095 eV/atom
**Density of states at the Fermi level**: 0.00 states/eV per cell
**E_form (uncorrected)**: -0.678 eV/atom

abc: 5.1548 6.5826 6.5842
angles: 99.07 106.59 106.74
With the nearest neighbours (Å) after each atom.
Positions (direct):
Rb1 0.0000 0.0000 0.0000  3 Cl 3.36-3.39, 4 Pt 3.41-3.63
Rb2 0.0021 0.4264 0.5750  3 Cl 3.36-3.39, 4 Pt 3.41-3.63
Pt1 0.3834 0.9708 0.5447  2 Cl 2.30-2.32, 1 Pt 2.57
Pt2 0.8347 0.8708 0.4448  1 Cl 2.40, 1 Pt 2.57
Cl1 0.3220 0.6876 0.2610  2 Pt 2.30-2.40
Cl2 0.5387 0.2696 0.8440  1 Pt 2.32

HfOsW3: optimized geometry, GGA-PBE.

**Offset from the most stable computed form**: 0.000 eV/atom
**Density of states at the Fermi level**: 5.43 states/eV per cell

abc: 4.7471 4.7471 4.7471
angles: 90.00 90.00 90.00
With the nearest neighbours (Å) after each atom.
Positions (direct):
Hf1 0.0000 0.0000 0.0000  12 W 3.36
Os1 0.5000 0.5000 0.5000  6 W 2.37
W1 0.0000 0.5000 0.5000  2 Os 2.37
W2 0.5000 0.0000 0.5000  2 Os 2.37
W3 0.5000 0.5000 0.0000  2 Os 2.37

La2MgScSn: optimized geometry, GGA-PBE.

**Density of states at the Fermi level**: 8.65 states/eV per cell
**Total energy**: -19.967 eV per cell

abc: 5.6959 5.6959 5.3223
angles: 90.00 90.00 90.00
With the nearest neighbours (Å) after each atom.
Positions (direct):
La1 0.0000 0.5000 0.0000  2 Mg 2.85
La2 0.5000 0.0000 0.0000  2 Mg 2.85
Mg1 0.0000 0.0000 0.0000  2 Sc 2.66, 4 La 2.85
Sc1 0.0000 0.0000 0.5000  2 Mg 2.66
Sn1 0.5000 0.5000 0.5000  8 La 3.90, 4 Sc 4.03

Cs2SrHgI6: optimized geometry, GGA-PBE.

**E_form (uncorrected)**: -1.177 eV/atom

abc: 8.6828 8.6828 8.6828
angles: 62.06 62.06 62.06
With the nearest neighbours (Å) after each atom.
Positions (direct):
Cs1 0.0000 0.0000 0.0000  6 I 3.89-4.24
Cs2 0.4902 0.4902 0.4902  6 I 3.89-4.26
Sr1 0.7448 0.7448 0.7448  6 I 3.28
Hg1 0.2449 0.2449 0.2449  6 I 3.07
I1 0.0077 0.4207 0.5519  1 Hg 3.07, 1 Sr 3.28
I2 0.0688 0.9374 0.4805  1 Hg 3.07, 1 Sr 3.28
I3 0.4207 0.5519 0.0077  1 Hg 3.07, 1 Sr 3.28
I4 0.4805 0.0688 0.9374  1 Hg 3.07, 1 Sr 3.28
I5 0.5519 0.0077 0.4207  1 Hg 3.07, 1 Sr 3.28
I6 0.9374 0.4805 0.0688  1 Hg 3.07, 1 Sr 3.28

The magnetic moment results, record by record, are as follows: 0.00, 4.80, 0.00, 0.00, 0.00, 0.00 μB/f.u..